1.
Compound: TaBeHgIr
Source: the Open Quantum Materials Database
Functional: PBE
Structure: optimized geometry

a b c (Å): 6.307 6.307 6.307
angles (deg): 90.00 90.00 90.00
Element x y z (fractional)
Ta 0.000 0.000 0.000
Ta 0.000 0.500 0.500
Ta 0.500 0.000 0.500
Ta 0.500 0.500 0.000
Be 0.250 0.250 0.750
Be 0.250 0.750 0.250
Be 0.750 0.250 0.250
Be 0.750 0.750 0.750
Hg 0.000 0.000 0.500
Hg 0.000 0.500 0.000
Hg 0.500 0.000 0.000
Hg 0.500 0.500 0.500
Ir 0.250 0.250 0.250
Ir 0.250 0.750 0.750
Ir 0.750 0.250 0.750
Ir 0.750 0.750 0.250

Calculated values
Its space group is F-43m, No. 216. The total magnetization is 0.00 μB per formula unit. The total energy is -6.06 eV/atom.

2.
Compound: Nd2Bi
Source: the Open Quantum Materials Database
Functional: PBE
Structure: optimized geometry

a b c (Å): 6.468 6.468 6.468
angles (deg): 60.00 60.00 60.00
Element x y z (fractional)
Nd 0.000 0.000 0.000
Nd 0.000 0.000 0.500
Nd 0.000 0.500 0.000
Nd 0.500 0.000 0.000
Bi 0.375 0.375 0.375
Bi 0.625 0.625 0.625

Calculated values
Its space group is Fd-3m, No. 227. The total magnetization is 0.00 μB per formula unit. The total energy is -4.65 eV/atom.

3.
Compound: GdEr6Mg
Source: the Open Quantum Materials Database
Functional: PBE
Structure: optimized geometry

a b c (Å): 7.070 7.070 5.571
angles (deg): 90.00 90.00 120.00
Element x y z (fractional)
Gd 0.000 0.000 0.000
Er 0.001 0.501 0.000
Er 0.164 0.328 0.500
Er 0.164 0.836 0.500
Er 0.499 0.501 0.000
Er 0.499 0.999 0.000
Er 0.672 0.836 0.500
Mg 0.667 0.333 0.500

Calculated values
Its space group is P-6m2, No. 187. The total magnetization is 0.05 μB per formula unit. The total energy is -4.17 eV/atom.

4.
Compound: Lu3Cu4Si2Ge2
Source: the Open Quantum Materials Database
Functional: PBE
Structure: optimized geometry

a b c (Å): 7.818 7.818 7.818
angles (deg): 149.46 130.54 59.25
Element x y z (fractional)
Lu 0.000 0.000 0.000
Lu 0.372 0.872 0.500
Lu 0.628 0.128 0.500
Cu 0.027 0.335 0.692
Cu 0.358 0.665 0.692
Cu 0.642 0.335 0.308
Cu 0.973 0.665 0.308
Si 0.315 0.500 0.815
Si 0.685 0.500 0.185
Ge 0.217 0.217 0.000
Ge 0.783 0.783 0.000

Calculated values
Its space group is Immm, No. 71. The total magnetization is 0.00 μB per formula unit. The total energy is -5.02 eV/atom.